Record 1
# Ir2OsCl, single point on PBEsol structure, DFT SCAN
# Energy above the lowest structure with this stoichiometry   360 kJ/mol of formula units
# Crystal system   tetragonal
# Formation energy without anion corrections   1641 meV/atom
# DOS at the Fermi energy   1.404 states/eV per atom
data_Ir2OsCl
_chemical_formula_sum 'Ir2 Os1 Cl1'
_cell_length_a 3.793
_cell_length_b 3.793
_cell_length_c 4.046
_cell_angle_alpha 90.00
_cell_angle_beta 90.00
_cell_angle_gamma 90.00
_space_group_name_H-M_alt 'P 4/m m m'
_space_group_IT_number 123
_space_group_name_Hall '-P 4 2'
loop_
_atom_site_label
_atom_site_fract_x
_atom_site_fract_y
_atom_site_fract_z
_atom_site_occupancy
Ir1 0.000 0.500 0.000 1
Os1 0.000 0.000 0.500 1
Cl1 0.500 0.500 0.500 1

---

Record 2
# IrOs2Cl, single point on PBEsol structure, DFT SCAN
# Crystal system   orthorhombic
# Formation energy without anion corrections   1352 meV/atom
# DOS at the Fermi energy   1.093 states/eV per atom
data_IrOs2Cl
_chemical_formula_sum 'Ir1 Os2 Cl1'
_cell_length_a 2.717
_cell_length_b 4.625
_cell_length_c 4.640
_cell_angle_alpha 90.00
_cell_angle_beta 90.00
_cell_angle_gamma 90.00
_space_group_name_H-M_alt 'P m m m'
_space_group_IT_number 47
_space_group_name_Hall '-P 2 2'
loop_
_atom_site_label
_atom_site_fract_x
_atom_site_fract_y
_atom_site_fract_z
_atom_site_occupancy
Ir1 0.000 0.000 0.000 1
Os1 0.000 0.500 0.500 1
Os2 0.500 0.500 0.000 1
Cl1 0.500 0.000 0.500 1

---

Record 3
# Ir2OsCl, single point on PBEsol structure, DFT SCAN
# Energy above the lowest structure with this stoichiometry   36 kJ/mol of formula units
# Crystal system   orthorhombic
# Formation energy without anion corrections   800 meV/atom
# DOS at the Fermi energy   0.707 states/eV per atom
data_Ir2OsCl
_chemical_formula_sum 'Ir4 Os2 Cl2'
_cell_length_a 3.898
_cell_length_b 2.720
_cell_length_c 11.513
_cell_angle_alpha 90.00
_cell_angle_beta 90.00
_cell_angle_gamma 90.00
_space_group_name_H-M_alt 'A m m 2'
_space_group_IT_number 38
_space_group_name_Hall 'A 2 -2'
loop_
_atom_site_label
_atom_site_fract_x
_atom_site_fract_y
_atom_site_fract_z
_atom_site_occupancy
Ir1 0.000 0.000 0.000 1
Ir2 0.500 0.000 0.138 1
Os1 0.000 0.000 0.735 1
Cl1 0.500 0.000 0.873 1

---

Record 4
# Ir2OsCl, single point on PBEsol structure, DFT SCAN
# Energy above the lowest structure with this stoichiometry   0 kJ/mol of formula units
# Crystal system   orthorhombic
# Formation energy without anion corrections   708 meV/atom
# DOS at the Fermi energy   0.850 states/eV per atom
data_Ir2OsCl
_chemical_formula_sum 'Ir4 Os2 Cl2'
_cell_length_a 2.697
_cell_length_b 4.849
_cell_length_c 9.022
_cell_angle_alpha 90.00
_cell_angle_beta 90.00
_cell_angle_gamma 90.00
_space_group_name_H-M_alt 'C m m m'
_space_group_IT_number 65
_space_group_name_Hall '-C 2 2'
loop_
_atom_site_label
_atom_site_fract_x
_atom_site_fract_y
_atom_site_fract_z
_atom_site_occupancy
Ir1 0.000 0.000 0.249 1
Os1 0.000 0.500 0.000 1
Cl1 0.000 0.500 0.500 1

---

Record 5
# Ta2IrOsCl, single point on PBEsol structure, DFT SCAN
# Crystal system   tetragonal
# Formation energy without anion corrections   1083 meV/atom
# DOS at the Fermi energy   0.558 states/eV per atom
data_Ta2IrOsCl
_chemical_formula_sum 'Ta2 Ir1 Os1 Cl1'
_cell_length_a 4.391
_cell_length_b 4.391
_cell_length_c 4.265
_cell_angle_alpha 90.00
_cell_angle_beta 90.00
_cell_angle_gamma 90.00
_space_group_name_H-M_alt 'P 4/m m m'
_space_group_IT_number 123
_space_group_name_Hall '-P 4 2'
loop_
_atom_site_label
_atom_site_fract_x
_atom_site_fract_y
_atom_site_fract_z
_atom_site_occupancy
Ta1 0.000 0.500 0.000 1
Ir1 0.000 0.000 0.500 1
Os1 0.500 0.500 0.500 1
Cl1 0.500 0.500 0.000 1

---

Record 6
# PIr4Cl, single point on PBEsol structure, DFT SCAN
# Crystal system   cubic
# Formation energy without anion corrections   1306 meV/atom
# DOS at the Fermi energy   1.867 states/eV per atom
data_PIr4Cl
_chemical_formula_sum 'P4 Ir16 Cl4'
_cell_length_a 7.318
_cell_length_b 7.318
_cell_length_c 7.318
_cell_angle_alpha 90.00
_cell_angle_beta 90.00
_cell_angle_gamma 90.00
_space_group_name_H-M_alt 'F -4 3 m'
_space_group_IT_number 216
_space_group_name_Hall 'F -4 2 3'
loop_
_atom_site_label
_atom_site_fract_x
_atom_site_fract_y
_atom_site_fract_z
_atom_site_occupancy
P1 0.000 0.000 0.000 1
Ir1 0.126 0.126 0.626 1
Cl1 0.250 0.250 0.250 1

---

Record 7
# P2IrCl, single point on PBEsol structure, DFT SCAN
# Energy above the lowest structure with this stoichiometry   466 kJ/mol of formula units
# Crystal system   tetragonal
# Formation energy without anion corrections   847 meV/atom
# DOS at the Fermi energy   0.545 states/eV per atom
data_P2IrCl
_chemical_formula_sum 'P2 Ir1 Cl1'
_cell_length_a 4.544
_cell_length_b 4.544
_cell_length_c 2.775
_cell_angle_alpha 90.00
_cell_angle_beta 90.00
_cell_angle_gamma 90.00
_space_group_name_H-M_alt 'P 4/m m m'
_space_group_IT_number 123
_space_group_name_Hall '-P 4 2'
loop_
_atom_site_label
_atom_site_fract_x
_atom_site_fract_y
_atom_site_fract_z
_atom_site_occupancy
P1 0.000 0.500 0.000 1
Ir1 0.000 0.000 0.500 1
Cl1 0.500 0.500 0.500 1

---

Record 8
# P2IrCl, single point on PBEsol structure, DFT SCAN
# Energy above the lowest structure with this stoichiometry   0 kJ/mol of formula units
# Crystal system   monoclinic
# Formation energy without anion corrections   -361 meV/atom
# DOS at the Fermi energy   0.426 states/eV per atom
data_P2IrCl
_chemical_formula_sum 'P4 Ir2 Cl2'
_cell_length_a 6.745
_cell_length_b 3.544
_cell_length_c 6.965
_cell_angle_alpha 90.00
_cell_angle_beta 109.29
_cell_angle_gamma 90.00
_space_group_name_H-M_alt 'C 1 2/m 1'
_space_group_IT_number 12
_space_group_name_Hall '-C 2y'
loop_
_atom_site_label
_atom_site_fract_x
_atom_site_fract_y
_atom_site_fract_z
_atom_site_occupancy
P1 0.133 0.000 0.352 1
Ir1 0.000 0.500 0.500 1
Cl1 0.000 0.000 0.000 1

---

Record 9
# P2IrCl, single point on PBEsol structure, DFT SCAN
# Energy above the lowest structure with this stoichiometry   207 kJ/mol of formula units
# Crystal system   orthorhombic
# Formation energy without anion corrections   175 meV/atom
# DOS at the Fermi energy   0.490 states/eV per atom
data_P2IrCl
_chemical_formula_sum 'P2 Ir1 Cl1'
_cell_length_a 2.693
_cell_length_b 3.391
_cell_length_c 7.558
_cell_angle_alpha 90.00
_cell_angle_beta 90.00
_cell_angle_gamma 90.00
_space_group_name_H-M_alt 'P m m m'
_space_group_IT_number 47
_space_group_name_Hall '-P 2 2'
loop_
_atom_site_label
_atom_site_fract_x
_atom_site_fract_y
_atom_site_fract_z
_atom_site_occupancy
P1 0.000 0.000 0.174 1
Ir1 0.500 0.500 0.000 1
Cl1 0.500 0.500 0.500 1

---

Record 10
# PIr2Cl, single point on PBEsol structure, DFT SCAN
# Energy above the lowest structure with this stoichiometry   0 kJ/mol of formula units
# Crystal system   orthorhombic
# Formation energy without anion corrections   464 meV/atom
# DOS at the Fermi energy   0.460 states/eV per atom
data_PIr2Cl
_chemical_formula_sum 'P2 Ir4 Cl2'
_cell_length_a 2.824
_cell_length_b 5.480
_cell_length_c 8.010
_cell_angle_alpha 90.00
_cell_angle_beta 90.00
_cell_angle_gamma 90.00
_space_group_name_H-M_alt 'I m m m'
_space_group_IT_number 71
_space_group_name_Hall '-I 2 2'
loop_
_atom_site_label
_atom_site_fract_x
_atom_site_fract_y
_atom_site_fract_z
_atom_site_occupancy
P1 0.000 0.000 0.000 1
Ir1 0.000 0.500 0.279 1
Cl1 0.000 0.000 0.500 1

---

Record 11
# PIr2Cl, single point on PBEsol structure, DFT SCAN
# Energy above the lowest structure with this stoichiometry   200 kJ/mol of formula units
# Crystal system   tetragonal
# Formation energy without anion corrections   981 meV/atom
# DOS at the Fermi energy   0.877 states/eV per atom
data_PIr2Cl
_chemical_formula_sum 'P1 Ir2 Cl1'
_cell_length_a 4.337
_cell_length_b 4.337
_cell_length_c 2.962
_cell_angle_alpha 90.00
_cell_angle_beta 90.00
_cell_angle_gamma 90.00
_space_group_name_H-M_alt 'P 4/m m m'
_space_group_IT_number 123
_space_group_name_Hall '-P 4 2'
loop_
_atom_site_label
_atom_site_fract_x
_atom_site_fract_y
_atom_site_fract_z
_atom_site_occupancy
P1 0.000 0.000 0.000 1
Ir1 0.000 0.500 0.500 1
Cl1 0.500 0.500 0.000 1

---

Record 12
# PIrPdCl2, single point on PBEsol structure, DFT SCAN
# Crystal system   tetragonal
# Formation energy without anion corrections   518 meV/atom
# DOS at the Fermi energy   0.581 states/eV per atom
data_PIrPdCl2
_chemical_formula_sum 'P1 Ir1 Pd1 Cl2'
_cell_length_a 4.839
_cell_length_b 4.839
_cell_length_c 4.405
_cell_angle_alpha 90.00
_cell_angle_beta 90.00
_cell_angle_gamma 90.00
_space_group_name_H-M_alt 'P 4/m m m'
_space_group_IT_number 123
_space_group_name_Hall '-P 4 2'
loop_
_atom_site_label
_atom_site_fract_x
_atom_site_fract_y
_atom_site_fract_z
_atom_site_occupancy
P1 0.000 0.000 0.000 1
Ir1 0.000 0.000 0.500 1
Pd1 0.500 0.500 0.000 1
Cl1 0.000 0.500 0.500 1